No. 1
Below is a relaxed TbGaS3 crystal, with properties calculated at the PBE-GGA level.

a b c (Å): 16.2947 3.8809 7.7109
angles (deg): 90.00 99.78 90.00
Closest atoms and distances in Å follow each position.
Space group C2/m (No. 12)
Inequivalent atoms, fractional coordinates:
Tb  0.1362  0.0000  0.3527 [4 per cell]  6 S 2.66-2.83
Ga  0.1128  0.5000  0.8454 [4 per cell]  4 S 2.26-2.35
S  0.0237  0.5000  0.2770 [4 per cell]  1 Ga 2.26
S  0.1558  0.0000  0.0013 [4 per cell]  2 Ga 2.33
S  0.1878  0.5000  0.6106 [4 per cell]  1 Ga 2.35

energy above the lowest structure with this stoichiometry	0.00	eV/f.u.

No. 2
Below is a relaxed Tb6GaS4 crystal, with properties calculated at the PBE-GGA level.

a b c (Å): 3.9212 13.0453 20.0492
angles (deg): 90.00 90.00 90.00
Closest atoms and distances in Å follow each position.
Space group Cmcm (No. 63)
Inequivalent atoms, fractional coordinates:
Tb  0.0000  0.0000  0.0000 [4 per cell]  6 S 2.75-2.78
Tb  0.0000  0.1669  0.2500 [4 per cell]  2 S 2.72, 2 Ga 2.95
Tb  0.0000  0.2726  0.5840 [8 per cell]  5 S 2.75-2.78
Tb  0.0000  0.4544  0.1629 [8 per cell]  3 S 2.74-2.77, 2 Ga 3.05
Ga  0.0000  0.1638  0.7500 [4 per cell]  6 Tb 2.95-3.05
S  0.0000  0.0911  0.1235 [8 per cell]  6 Tb 2.72-2.77
S  0.0000  0.3625  0.0402 [8 per cell]  6 Tb 2.74-2.78

No. 3
Below is a relaxed TbGa6S8 crystal, with properties calculated at the PBE-GGA level.

a b c (Å): 10.0028 10.0028 10.9500
angles (deg): 90.00 90.00 120.00
Closest atoms and distances in Å follow each position.
Space group R-3 (No. 148, hexagonal axes)
Inequivalent atoms, fractional coordinates:
Tb  0.0000  0.0000  0.0000 [3 per cell]  8 S 2.92-2.96
Ga  0.0747  0.2170  0.5993 [18 per cell]  3 S 2.33-2.41
S  0.0000  0.0000  0.2665 [6 per cell]  3 Ga 2.41
S  0.0068  0.7207  0.9216 [18 per cell]  2 Ga 2.33-2.37

No. 4
Below is a relaxed Tb4GaTe2S crystal, with properties calculated at the PBE-GGA level.

a b c (Å): 7.2542 4.1491 7.5071
angles (deg): 90.00 108.65 90.00
Closest atoms and distances in Å follow each position.
Space group P2/m (No. 10)
Inequivalent atoms, fractional coordinates:
Tb  0.2391  0.0000  0.2150 [2 per cell]  2 S 2.85, 1 Ga 2.85, 3 Te 3.14-3.16
Tb  0.2595  0.5000  0.7766 [2 per cell]  2 Ga 2.88, 1 S 2.89, 3 Te 3.11
Ga  0.5000  0.0000  0.0000 [1 per cell]  6 Tb 2.85-2.88
Te  0.0000  0.0000  0.5000 [1 per cell]  6 Tb 3.11-3.16
Te  0.5000  0.5000  0.5000 [1 per cell]  6 Tb 3.11-3.14
S  0.0000  0.5000  0.0000 [1 per cell]  6 Tb 2.85-2.89

The E_form (uncorrected) results, record by record, are as follows: -1287, -1600, -542, -1341 meV per atom.
The density results, record by record, are as follows: 4.490, 7.458, 4.378, 7.700 g/cm³.